Compound: NdDyAgSb
Source: Alexandria via LeMat-Bulk
Functional: PBE
Structure: relaxed

- total DFT energy (no corrections) (eV for the cell shown) = -18.598
- size of the total moment (μB per cell) = 0.0
- crystal system = cubic
- formation energy (no corrections) (eV per atom) = -0.564

a = 5.3031 Å, b = 5.3031 Å, c = 5.3031 Å
α = 60.00°, β = 60.00°, γ = 60.00°
Positions (direct):
Nd1 0.0000 0.0000 0.0000
Dy1 0.5000 0.5000 0.5000
Ag1 0.2500 0.2500 0.2500
Sb1 0.7500 0.7500 0.7500